1.
NaTlIn2Fe: relaxed, PBE.

energy above the lowest structure with this stoichiometry	0.0	kJ per mole of atoms
energy of formation	107	meV per atom
calculated density	6.6	g cm⁻³

Unit cell a=5.024 b=5.024 c=5.122 alpha=90.00 beta=90.00 gamma=90.00
Sites, in units of the cell vectors:
In1 0.500 0.000 0.000
In2 0.000 0.500 0.000
Fe1 0.000 0.000 0.000
Tl1 0.000 0.000 0.500
Na1 0.500 0.500 0.500

2.
MgC7: relaxed, PBE.

energy of formation	3681	meV per atom
calculated density	2.8	g cm⁻³

Unit cell a=4.509 b=4.509 c=4.509 alpha=60.00 beta=60.00 gamma=60.00
Sites, in units of the cell vectors:
C1 0.000 0.000 0.500
C2 0.500 0.500 0.500
C3 0.500 0.000 0.500
C4 0.000 0.500 0.000
C5 0.500 0.500 0.000
C6 0.500 0.000 0.000
C7 0.000 0.500 0.500
Mg1 0.000 0.000 0.000

3.
TiNbRu5: relaxed, PBE.

energy of formation	77	meV per atom
calculated density	9.8	g cm⁻³

Unit cell a=4.235 b=4.235 c=6.114 alpha=90.00 beta=90.00 gamma=90.00
Sites, in units of the cell vectors:
Ru1 0.500 0.000 0.226
Ru2 0.500 0.000 0.774
Ru3 0.000 0.500 0.774
Ru4 0.500 0.500 0.500
Ru5 0.000 0.500 0.226
Nb1 0.000 0.000 0.500
Ti1 0.500 0.500 0.000